Pr3AlHg | GGA-PBE | optimized geometry

abc: 8.527 8.527 5.053
angles: 90.00 90.00 120.00
Sites, in units of the cell vectors:
Pr  0.192  0.385  0.250
Pr  0.192  0.808  0.250
Pr  0.385  0.192  0.750
Pr  0.615  0.808  0.250
Pr  0.808  0.192  0.750
Pr  0.808  0.615  0.750
Al  0.000  0.000  0.000
Al  0.000  0.000  0.500
Hg  0.333  0.667  0.750
Hg  0.667  0.333  0.250

Properties
The energy above the most stable polymorph in this dataset comes out at 0.1419 eV/atom. The value obtained for the mass density is 6.786 g/cm³.